The following is a DFT calculation (PBE-GGA) of an optimized crystal structure of Pu3NbTl3Se8.

Cell: 8.1475 8.1475 23.6387 Å, 90.00 90.00 120.00°
Closest atoms and distances in Å follow each position.
Space group R-3m (No. 166, hexagonal axes)
Symmetry-distinct sites (fractional):
Pu 0.0000 0.5000 0.0000 [9 per cell]  6 Se 2.87-2.89
Nb 0.0000 0.0000 0.0000 [3 per cell]  6 Se 2.69
Tl 0.0000 0.5000 0.5000 [9 per cell]  6 Se 3.29-3.30
Se 0.0000 0.0000 0.2640 [6 per cell]  3 Pu 2.87
Se 0.0222 0.5111 0.7323 [18 per cell]  1 Nb 2.69, 2 Pu 2.89

Calculated values
- total magnetization (μB per formula unit) = 16.0
- VASP energy (eV/atom) = -6.890
- E_form (uncorrected) (eV per atom) = -1.02
- calculated density (Mg/m³) = 7.59